No. 1
A relaxed structure of Cs2SmCuCl6. Source: Alexandria, functional PBE.

Space-group type: Fm-3m

a b c (Å): 7.505 7.505 7.505
angles (deg): 60.00 60.00 60.00
Fractional coordinates of all 10 atoms:
Cs 0.750 0.750 0.750
Cs 0.250 0.250 0.250
Sm 0.000 0.000 0.000
Cu 0.500 0.500 0.500
Cl 0.745 0.255 0.255
Cl 0.255 0.255 0.745
Cl 0.255 0.745 0.745
Cl 0.255 0.745 0.255
Cl 0.745 0.255 0.745
Cl 0.745 0.745 0.255

***

No. 2
A relaxed structure of Cs2SiP2. Source: Alexandria, functional PBE.

Space-group type: Ibam
Energy above the most stable polymorph in this dataset (meV per atom): 0

a b c (Å): 8.716 8.716 8.716
angles (deg): 138.12 127.73 69.12
Fractional coordinates of all 10 atoms:
Cs 0.974 0.646 0.328
Cs 0.026 0.354 0.672
Cs 0.682 0.854 0.828
Cs 0.318 0.146 0.172
P 0.265 0.913 0.353
P 0.735 0.087 0.647
P 0.440 0.587 0.853
P 0.560 0.413 0.147
Si 0.500 0.750 0.250
Si 0.500 0.250 0.750

***

Which raw total energy belongs to each record? In order, -3.95, -4.08 eV per atom.